Record 1
AlRe2Se, optimized geometry, DFT PBE; excess energy over the best structure of this formula in the dataset = 363.9 meV per atom; total magnetic moment = 0.00 μB/f.u.; symmetry = No. 119
1.0
-2.052 2.052 3.680
2.052 -2.052 3.680
2.052 2.052 -3.680
Al Re Se
1 2 1
Cartesian
0.000 0.000 0.000 Al
2.052 0.000 1.840 Re
0.000 0.000 3.680 Re
0.000 2.052 1.840 Se

=====

Record 2
Al3ReSe, optimized geometry, DFT PBE; excess energy over the best structure of this formula in the dataset = 794.1 meV per atom; total magnetic moment = 1.63 μB/f.u.; symmetry = No. 221
1.0
4.668 0.000 0.000
0.000 4.668 0.000
0.000 0.000 4.668
Al Re Se
3 1 1
Cartesian
0.000 0.000 2.334 Al
0.000 2.334 0.000 Al
2.334 0.000 0.000 Al
2.334 2.334 2.334 Re
0.000 0.000 0.000 Se

=====

Record 3
AlRe2Se, optimized geometry, DFT PBE; excess energy over the best structure of this formula in the dataset = 424.5 meV per atom; total magnetic moment = 0.00 μB/f.u.; symmetry = No. 71
1.0
-1.474 2.407 4.395
1.474 -2.407 4.395
1.474 2.407 -4.395
Al Re Se
1 2 1
Cartesian
0.000 0.000 0.000 Al
1.474 0.000 2.379 Re
0.000 2.407 2.016 Re
0.000 0.000 4.395 Se

=====

Record 4
Al2ReSi2, optimized geometry, DFT PBE; excess energy over the best structure of this formula in the dataset = 0.0 meV per atom; total magnetic moment = 0.00 μB/f.u.; symmetry = No. 127
1.0
6.330 0.000 0.000
0.000 6.330 0.000
0.000 0.000 3.683
Al Re Si
4 2 4
Cartesian
1.095 2.070 0.000 Al
2.070 5.235 0.000 Al
4.260 1.095 0.000 Al
5.235 4.260 0.000 Al
0.000 0.000 1.841 Re
3.165 3.165 1.841 Re
0.837 4.002 1.841 Si
2.328 0.837 1.841 Si
4.002 5.493 1.841 Si
5.493 2.328 1.841 Si

=====

Record 5
Al2ReSi, optimized geometry, DFT PBE; total magnetic moment = 0.00 μB/f.u.; symmetry = No. 47
1.0
3.242 0.000 0.000
0.000 4.127 0.000
0.000 0.000 4.232
Al Re Si
2 1 1
Cartesian
0.000 0.000 0.000 Al
1.621 2.063 0.000 Al
0.000 2.063 2.116 Re
1.621 0.000 2.116 Si

=====

Record 6
Al2ReSi, optimized geometry, DFT PBE; total magnetic moment = 0.00 μB/f.u.; symmetry = No. 71
1.0
-1.671 2.071 4.079
1.671 -2.071 4.079
1.671 2.071 -4.079
Al Re Si
2 1 1
Cartesian
0.000 0.000 1.992 Al
0.000 0.000 6.166 Al
0.000 2.071 0.000 Re
1.671 0.000 0.000 Si

=====

Record 7
AlReSi2, optimized geometry, DFT PBE; total magnetic moment = 0.00 μB/f.u.; symmetry = No. 12
1.0
4.192 -1.514 0.000
4.192 1.514 0.000
-0.549 0.000 4.510
Al Re Si
1 1 2
Cartesian
0.000 0.000 0.000 Al
3.917 0.000 2.255 Re
1.593 0.000 3.253 Si
6.241 0.000 1.257 Si

=====

Record 8
Al2ReSi, optimized geometry, DFT PBE; total magnetic moment = 0.00 μB/f.u.; symmetry = No. 123
1.0
2.774 0.000 0.000
0.000 2.774 0.000
0.000 0.000 7.734
Al Re Si
2 1 1
Cartesian
0.000 0.000 1.880 Al
0.000 0.000 5.854 Al
1.387 1.387 0.000 Re
1.387 1.387 3.867 Si

=====

Record 9
AlReSi2, optimized geometry, DFT PBE; total magnetic moment = 0.00 μB/f.u.; symmetry = No. 123
1.0
3.212 0.000 0.000
0.000 3.212 0.000
0.000 0.000 5.408
Al Re Si
1 1 2
Cartesian
0.000 0.000 0.000 Al
0.000 0.000 2.704 Re
1.606 1.606 1.384 Si
1.606 1.606 4.024 Si

=====

Record 10
Al2ReSi, optimized geometry, DFT PBE; total magnetic moment = 0.00 μB/f.u.; symmetry = No. 99
1.0
3.240 0.000 0.000
0.000 3.240 0.000
0.000 0.000 5.443
Al Re Si
2 1 1
Cartesian
0.000 0.000 0.000 Al
1.620 1.620 1.413 Al
0.000 0.000 2.831 Re
1.620 1.620 4.060 Si

=====

Record 11
Al2ReSi, optimized geometry, DFT PBE; total magnetic moment = 0.00 μB/f.u.; symmetry = No. 123
1.0
4.176 0.000 0.000
0.000 4.176 0.000
0.000 0.000 3.244
Al Re Si
2 1 1
Cartesian
0.000 2.088 0.000 Al
2.088 0.000 0.000 Al
0.000 0.000 1.622 Re
2.088 2.088 1.622 Si

=====

Record 12
Al2ReSi, optimized geometry, DFT PBE; total magnetic moment = 0.00 μB/f.u.; symmetry = No. 6
1.0
3.248 0.000 0.000
0.000 3.926 0.000
-1.615 0.000 4.843
Al Re Si
2 1 1
Cartesian
0.000 0.000 0.000 Al
0.003 1.963 3.133 Al
1.624 1.963 0.943 Re
1.627 0.000 2.297 Si

=====

Record 13
Al2ReSi, optimized geometry, DFT PBE; total magnetic moment = 0.00 μB/f.u.; symmetry = No. 99
1.0
2.898 0.000 0.000
0.000 2.898 0.000
0.000 0.000 7.371
Al Re Si
2 1 1
Cartesian
0.000 0.000 0.000 Al
1.449 1.449 2.184 Al
0.000 0.000 3.971 Re
1.449 1.449 5.420 Si

=====

Record 14
Al2ReSi, optimized geometry, DFT PBE; total magnetic moment = 0.00 μB/f.u.; symmetry = No. 65
1.0
2.812 -3.838 0.000
2.812 3.838 0.000
0.000 0.000 2.693
Al Re Si
2 1 1
Cartesian
1.406 1.919 0.000 Al
1.406 -1.919 0.000 Al
0.000 0.000 1.346 Re
2.812 0.000 1.346 Si

=====

Record 15
Al2ReSi, optimized geometry, DFT PBE; total magnetic moment = 0.00 μB/f.u.; symmetry = No. 8
1.0
4.444 -1.470 0.000
4.444 1.470 0.000
-0.590 0.000 4.499
Al Re Si
2 1 1
Cartesian
0.000 0.000 0.000 Al
1.743 0.000 3.371 Al
6.441 0.000 1.131 Re
3.920 0.000 2.068 Si

=====

Record 16
AlReSi2, optimized geometry, DFT PBE; total magnetic moment = 0.00 μB/f.u.; symmetry = No. 139
1.0
-1.978 1.978 3.530
1.978 -1.978 3.530
1.978 1.978 -3.530
Al Re Si
1 1 2
Cartesian
0.000 0.000 0.000 Al
0.000 0.000 3.530 Re
1.978 0.000 1.765 Si
0.000 1.978 1.765 Si

=====

Record 17
Al2ReSi, optimized geometry, DFT PBE; total magnetic moment = 0.00 μB/f.u.; symmetry = No. 35
1.0
1.578 -2.362 0.000
1.578 2.362 0.000
0.000 0.000 8.282
Al Re Si
2 1 1
Cartesian
0.000 0.000 0.000 Al
1.578 0.000 2.258 Al
1.578 0.000 6.227 Re
0.000 0.000 4.402 Si

=====

Record 18
AlReSi2, optimized geometry, DFT PBE; total magnetic moment = 0.00 μB/f.u.; symmetry = No. 160
1.0
1.476 0.852 7.754
-1.476 0.852 7.754
0.000 -1.705 7.754
Al Re Si
1 1 2
Cartesian
0.000 0.000 0.000 Al
0.000 0.000 17.558 Re
0.000 0.000 5.715 Si
0.000 0.000 11.636 Si

=====

Record 19
Al2Re2Si, optimized geometry, DFT PBE; total magnetic moment = 0.00 μB/f.u.; symmetry = No. 127
1.0
6.334 0.000 0.000
0.000 6.334 0.000
0.000 0.000 3.850
Al Re Si
4 4 2
Cartesian
0.964 2.203 0.000 Al
2.203 5.370 0.000 Al
4.131 0.964 0.000 Al
5.370 4.131 0.000 Al
0.962 4.129 1.925 Re
2.205 0.962 1.925 Re
4.129 5.372 1.925 Re
5.372 2.205 1.925 Re
0.000 0.000 1.925 Si
3.167 3.167 1.925 Si

=====

Record 20
AlReSi2, optimized geometry, DFT PBE; total magnetic moment = 0.00 μB/f.u.; symmetry = No. 6
1.0
3.150 0.000 0.000
0.000 4.186 0.000
-1.558 0.000 4.546
Al Re Si
1 1 2
Cartesian
0.000 0.000 0.000 Al
1.568 2.093 0.883 Re
-0.006 2.093 2.864 Si
1.573 0.000 2.119 Si

=====

| no. | DFT total energy (eV for the cell shown) |
| --- | --- |
| 1 | -30.3 |
| 2 | -20.5 |
| 3 | -30.1 |
| 4 | -61.7 |
| 5 | -25.2 |
| 6 | -25.6 |
| 7 | -27.2 |
| 8 | -24.9 |
| 9 | -26.9 |
| 10 | -25.9 |
| 11 | -25.4 |
| 12 | -25.9 |
| 13 | -25.2 |
| 14 | -25.4 |
| 15 | -25.6 |
| 16 | -26.6 |
| 17 | -24.8 |
| 18 | -26.7 |
| 19 | -76.2 |
| 20 | -27.3 |